First-principles (GGA-PBE) data for crystalline BaMgCr2 at its relaxed geometry, as listed in the Alexandria database. Values from VASP.

Cell and atoms, written as Quantum ESPRESSO input:
```
&SYSTEM
  ibrav = 0, nat = 4, ntyp = 3
/
ATOMIC_SPECIES
Ba 137.33 Ba.upf
Cr 52.00 Cr.upf
Mg 24.30 Mg.upf
ATOMIC_POSITIONS angstrom
Ba -8.1470 -0.4812 -1.1261
Cr -2.4129 -1.2836 -2.5097
Cr -4.7187 -1.4862 -0.7469
Mg -3.0466 1.0387 -0.6704
CELL_PARAMETERS angstrom
-0.9929 3.5974 -0.8852
-2.0313 -1.2499 -2.8008
-8.1695 -1.7900 1.8894
```

Output
Energy relative to the elements: 0.797 eV per atom
Theoretical density: 4.037 g cm⁻³
Space-group type: Pmmm, No. 47

---

First-principles (GGA-PBE) data for crystalline Hf5Mg3 at its relaxed geometry, as listed in the Alexandria database. Values from VASP.

Cell and atoms, written as Quantum ESPRESSO input:
```
&SYSTEM
  ibrav = 0, nat = 8, ntyp = 2
/
ATOMIC_SPECIES
Hf 178.49 Hf.upf
Mg 24.30 Mg.upf
ATOMIC_POSITIONS angstrom
Hf 0.0000 1.6329 4.4227
Hf 1.5890 3.1701 2.3117
Hf 1.5890 3.1701 6.5727
Hf 0.0000 4.7074 4.4227
Hf 1.5890 0.0000 2.2650
Mg 0.0000 4.7293 8.8641
Mg 1.5890 0.0000 6.7005
Mg 0.0000 1.6109 8.8641
CELL_PARAMETERS angstrom
3.1779 0.0000 0.0000
0.0000 6.3403 0.0000
0.0000 0.0000 8.8847
```

Output
Energy relative to the elements: 0.054 eV per atom
Theoretical density: 8.955 g cm⁻³
Space-group type: Pmm2, No. 25

---

First-principles (GGA-PBE) data for crystalline Eu2AgPb at its relaxed geometry, as listed in the Alexandria database. Values from VASP.

Cell and atoms, written as Quantum ESPRESSO input:
```
&SYSTEM
  ibrav = 0, nat = 4, ntyp = 3
/
ATOMIC_SPECIES
Pb 207.20 Pb.upf
Eu 151.96 Eu.upf
Ag 107.87 Ag.upf
ATOMIC_POSITIONS angstrom
Pb 1.8921 1.8921 4.1607
Eu 0.0000 0.0000 6.3711
Eu 0.0000 0.0000 1.9503
Ag 1.8921 1.8921 0.0000
CELL_PARAMETERS angstrom
3.7842 0.0000 0.0000
0.0000 3.7842 0.0000
0.0000 0.0000 8.3214
```

Output
Energy relative to the elements: -0.439 eV per atom
Theoretical density: 8.626 g cm⁻³
Space-group type: P4/mmm, No. 123

---

First-principles (GGA-PBE) data for crystalline Hf2NpC at its relaxed geometry, as listed in the Alexandria database. Values from VASP.

Cell and atoms, written as Quantum ESPRESSO input:
```
&SYSTEM
  ibrav = 0, nat = 4, ntyp = 3
/
ATOMIC_SPECIES
Np 237.00 Np.upf
C 12.01 C.upf
Hf 178.49 Hf.upf
ATOMIC_POSITIONS angstrom
Np 0.0000 0.0000 0.0000
C 3.1739 1.8325 4.4745
Hf 1.5870 0.9162 5.7543
Hf 4.7609 2.7487 3.1946
CELL_PARAMETERS angstrom
3.1739 0.0000 0.0000
1.5870 2.7487 0.0000
1.5870 0.9162 8.9489
```

Output
Energy relative to the elements: -0.087 eV per atom
Theoretical density: 12.889 g cm⁻³
Space-group type: R-3m, No. 166

---

First-principles (GGA-PBE) data for crystalline Te2MoP at its relaxed geometry, as listed in the Alexandria database. Values from VASP.

Cell and atoms, written as Quantum ESPRESSO input:
```
&SYSTEM
  ibrav = 0, nat = 4, ntyp = 3
/
ATOMIC_SPECIES
Te 127.60 Te.upf
Mo 95.94 Mo.upf
P 30.97 P.upf
ATOMIC_POSITIONS angstrom
Te 2.3391 -1.8034 0.0000
Te 2.3391 1.8034 0.0000
Mo 2.3391 0.0000 2.0810
P 0.0000 0.0000 2.0810
CELL_PARAMETERS angstrom
2.3391 -5.4433 0.0000
2.3391 5.4433 0.0000
0.0000 0.0000 4.1620
```

Output
Theoretical density: 5.987 g cm⁻³
Space-group type: Cmmm, No. 65
ΔE_f (raw): 0.1102 eV/atom

---

First-principles (GGA-PBE) data for crystalline Tl2CrCl at its relaxed geometry, as listed in the Alexandria database. Values from VASP.

Cell and atoms, written as Quantum ESPRESSO input:
```
&SYSTEM
  ibrav = 0, nat = 8, ntyp = 3
/
ATOMIC_SPECIES
Cr 52.00 Cr.upf
Tl 204.38 Tl.upf
Cl 35.45 Cl.upf
ATOMIC_POSITIONS angstrom
Cr 5.2852 2.6272 4.5427
Cr 0.0043 2.6272 2.8192
Tl 2.9663 0.0000 0.0051
Tl 0.9025 0.0000 2.6533
Tl 4.3870 0.0000 4.7087
Tl 2.6447 2.6272 3.6810
Cl 4.4911 2.6272 1.0372
Cl 0.7983 2.6272 6.3247
CELL_PARAMETERS angstrom
5.9327 0.0000 0.0101
0.0000 5.2545 0.0000
-0.6432 0.0000 7.3518
```

Output
Theoretical density: 7.190 g cm⁻³
Energy above the lowest structure with this stoichiometry: 0.065 eV/atom
Space-group type: P2/m, No. 10
ΔE_f (raw): -0.0149 eV/atom

---

First-principles (GGA-PBE) data for crystalline LiPrScIr at its relaxed geometry, as listed in the Alexandria database. Values from VASP.

Cell and atoms, written as Quantum ESPRESSO input:
```
&SYSTEM
  ibrav = 0, nat = 4, ntyp = 4
/
ATOMIC_SPECIES
Pr 140.91 Pr.upf
Sc 44.96 Sc.upf
Ir 192.22 Ir.upf
Li 6.94 Li.upf
ATOMIC_POSITIONS angstrom
Pr -7.6162 -3.1408 3.6013
Sc -2.5387 -1.0469 1.2004
Ir -5.0774 -2.0939 2.4009
Li 0.0000 0.0000 0.0000
CELL_PARAMETERS angstrom
-4.8857 0.0978 -0.2705
-2.5867 -4.0359 0.9864
-2.6825 -0.2496 4.0859
```

Output
Energy relative to the elements: -0.443 eV per atom
Theoretical density: 7.713 g cm⁻³
Space-group type: F-43m, No. 216

---

First-principles (GGA-PBE) data for crystalline Ta5Sb4 at its relaxed geometry, as listed in the Alexandria database. Values from VASP.

Cell and atoms, written as Quantum ESPRESSO input:
```
&SYSTEM
  ibrav = 0, nat = 18, ntyp = 2
/
ATOMIC_SPECIES
Sb 121.76 Sb.upf
Ta 180.95 Ta.upf
ATOMIC_POSITIONS angstrom
Sb 0.0000 0.0000 0.0000
Sb 0.0000 0.0000 2.8252
Sb -1.6158 2.7987 1.4126
Sb 2.6571 4.6023 1.4126
Sb 3.2316 0.0000 1.4126
Sb -2.6571 4.6023 4.2378
Sb 1.6158 2.7987 4.2378
Sb 5.3143 0.0000 4.2378
Ta -3.0041 5.2032 1.4126
Ta 1.2689 2.1978 1.4126
Ta 6.0081 0.0000 1.4126
Ta -1.2689 2.1978 4.2378
Ta 3.0041 5.2032 4.2378
Ta 2.5378 0.0000 4.2378
Ta 4.2730 2.4670 0.0000
Ta 0.0000 4.9340 2.8252
Ta 0.0000 4.9340 0.0000
Ta 4.2730 2.4670 2.8252
CELL_PARAMETERS angstrom
8.5459 0.0000 0.0000
-4.2729 7.4010 0.0000
0.0000 0.0000 5.6504
```

Output
Theoretical density: 12.934 g cm⁻³
Energy above the lowest structure with this stoichiometry: 0.437 eV/atom
Space-group type: P6_3/mcm, No. 193
ΔE_f (raw): 0.2708 eV/atom

---

Question: Which of these has the highest theoretical density?
Answer: Ta5Sb4